CsTmCl3 | PBE | relaxed

Computed properties:
ρ, g/cm³: 4.59
Total magnetic moment, μB per formula unit: 0.03
Crystal system: orthorhombic
Final energy, eV per atom: -4.05

a = 7.476 Å, b = 10.579 Å, c = 7.465 Å
α = 90.00°, β = 90.00°, γ = 90.00°
Space group Pnma (No. 62)
Symmetry-distinct sites (fractional):
Cs: 0.002 0.250 0.000
Tm: 0.000 0.000 0.500
Cl: 0.000 0.250 0.497
Cl: 0.249 0.501 0.249